(1)
## AcLaPm6Er2 (GGA-PBE)

Data for crystalline AcLaPm6Er2 at its relaxed geometry.

Cell lengths 9.4011, 15.4386, 9.8512 Å; angles 90.00, 96.26, 90.00 degrees
With the nearest neighbours (Å) after each atom.
Space group C2/c (No. 15)
Symmetry-distinct sites (fractional):
Ac 0.0000 0.0328 0.2500 x4  4 Er 3.52-3.58, 6 Pm 3.70-3.89
La 0.0000 0.4078 0.7500 x4  6 Pm 3.52-3.67, 2 Er 3.67
Pm 0.0678 0.1810 0.9441 x8  5 Pm 3.46-3.76, 1 Er 3.60, 1 Ac 3.83
Pm 0.0971 0.3910 0.1204 x8  3 Pm 3.28-3.46, 3 Er 3.35-3.52, 2 La 3.52-3.67
Pm 0.2134 0.2318 0.3234 x8  3 Pm 3.28-3.67, 2 Er 3.52-3.55, 1 La 3.59
Er 0.2476 0.4464 0.4522 x8  6 Pm 3.35-3.60, 2 Ac 3.52-3.58, 1 La 3.67

Summary:
**E**: -4.5470 eV/atom
**ΔH_f (0 K)**: 12 kJ/mol of atoms

---

(2)
## Ac5La2PmEr (GGA-PBE)

Data for crystalline Ac5La2PmEr at its relaxed geometry.

Cell lengths 8.5161, 8.5161, 20.5263 Å; angles 90.00, 90.00, 90.00 degrees
With the nearest neighbours (Å) after each atom.
Space group I4/mcm (No. 140)
Symmetry-distinct sites (fractional):
Ac 0.0000 0.0000 0.0000 x4  4 La 3.39
Ac 0.2304 0.2696 0.1401 x16  1 La 3.38, 1 Er 3.58, 2 Pm 3.77
La 0.1212 0.3788 0.5000 x8  1 La 2.92
Pm 0.0000 0.0000 0.2500 x4  8 Ac 3.77
Er 0.0000 0.5000 0.2500 x4  8 Ac 3.58-3.95

Summary:
**E**: -4.1481 eV/atom
**ΔH_f (0 K)**: 25 kJ/mol of atoms

---

(3)
## AcLa2PmEr (GGA-PBE)

Data for crystalline AcLa2PmEr at its relaxed geometry.

Cell lengths 8.2299, 12.2685, 7.6074 Å; angles 90.00, 90.00, 90.00 degrees
With the nearest neighbours (Å) after each atom.
Space group Cmcm (No. 63)
Symmetry-distinct sites (fractional):
Ac 0.0000 0.2413 0.2500 x4  1 Pm 3.69, 2 Er 3.89, 4 La 4.06
La 0.2023 0.5000 0.0000 x8  2 Pm 3.19, 1 La 3.33, 2 Er 3.47
Pm 0.0000 0.0593 0.7500 x4  1 Er 3.04, 4 La 3.19
Er 0.0000 0.3068 0.7500 x4  1 Pm 3.04

Summary:
**E**: -4.3287 eV/atom
**ΔH_f (0 K)**: 32 kJ/mol of atoms

---

(4)
## AcLa4PmEr2 (GGA-PBE)

Data for crystalline AcLa4PmEr2 at its relaxed geometry.

Cell lengths 11.6697, 5.2510, 10.5363 Å; angles 90.00, 116.96, 90.00 degrees
With the nearest neighbours (Å) after each atom.
Space group C2/m (No. 12)
Symmetry-distinct sites (fractional):
Ac 0.0000 0.0000 0.0000 x2  8 La 3.71-3.72, 4 Er 3.76
La 0.2471 0.0000 0.8704 x4  1 Pm 3.65, 4 Er 3.67-3.78, 4 La 3.71-3.77, 3 Ac 3.71-3.72
La 0.2489 0.5000 0.6229 x4  4 Er 3.64-3.71, 3 Pm 3.69-3.70, 4 La 3.70-3.71, 1 Ac 3.72
Pm 0.0000 0.0000 0.5000 x2  8 La 3.65-3.70, 4 Er 3.68
Er 0.9996 0.5000 0.2550 x4  8 La 3.64-3.78, 2 Pm 3.68, 2 Ac 3.76

Summary:
**E**: -4.6803 eV/atom
**ΔH_f (0 K)**: 3 kJ/mol of atoms

---

(5)
## AcLaPm4Er2 (GGA-PBE)

Data for crystalline AcLaPm4Er2 at its relaxed geometry.

Cell lengths 12.7091, 7.3224, 12.7458 Å; angles 90.00, 109.42, 90.00 degrees
With the nearest neighbours (Å) after each atom.
Space group C2/m (No. 12)
Symmetry-distinct sites (fractional):
Ac 0.0000 0.0000 0.0000 x2  2 Er 3.66, 4 La 3.67, 6 Pm 3.71-3.75
Ac 0.0000 0.0000 0.5000 x2  6 Er 3.66-3.67, 6 Pm 3.66-3.67
La 0.2500 0.2500 0.0000 x4  2 La 3.66, 2 Ac 3.67, 2 Er 3.67, 6 Pm 3.69-3.74
Pm 0.0012 0.2531 0.2524 x8  6 Pm 3.62-3.71, 3 Er 3.64-3.69, 2 Ac 3.66-3.71, 1 La 3.70
Pm 0.2474 0.5000 0.7432 x4  3 Er 3.61, 6 Pm 3.66-3.68, 2 La 3.74, 1 Ac 3.75
Pm 0.2504 0.0000 0.7488 x4  6 Pm 3.64-3.69, 3 Er 3.66-3.68, 1 Ac 3.67, 2 La 3.69
Er 0.0000 0.5000 0.0000 x2  2 Ac 3.66, 4 La 3.67, 6 Pm 3.68-3.69
Er 0.0000 0.5000 0.5000 x2  6 Pm 3.61-3.64, 2 Ac 3.66, 4 Er 3.67
Er 0.2500 0.2500 0.5000 x4  6 Pm 3.61-3.66, 4 Er 3.66-3.67, 2 Ac 3.67

Summary:
**E**: -4.6142 eV/atom
**ΔH_f (0 K)**: 3 kJ/mol of atoms

---

(6)
## Ac2LaPm2Er (GGA-PBE)

Data for crystalline Ac2LaPm2Er at its relaxed geometry.

Cell lengths 5.9392, 10.2862, 7.3799 Å; angles 90.00, 90.00, 90.00 degrees
With the nearest neighbours (Å) after each atom.
Space group Pmc2_1 (No. 26)
Symmetry-distinct sites (fractional):
Ac 0.0000 0.0005 0.0000 x2  6 Ac 3.69-3.92, 2 Er 3.91, 6 Pm 3.92-3.98
Ac 0.5000 0.1722 0.2504 x2  5 Pm 3.44-3.69, 2 La 3.84
La 0.5000 0.4996 0.9995 x2  2 La 3.69, 6 Pm 3.83-3.86, 2 Ac 3.84, 4 Er 3.88-3.89
Pm 0.0000 0.3419 0.2497 x2  3 Er 3.32-3.69, 2 Ac 3.44
Pm 0.5000 0.1735 0.7499 x2  2 Er 3.40, 3 Ac 3.56-3.69
Er 0.0000 0.3353 0.7493 x2  5 Pm 3.32-3.69

Summary:
**E**: -4.4557 eV/atom
**ΔH_f (0 K)**: 8 kJ/mol of atoms

---

(7)
## AcLaPmEr (GGA-PBE)

Data for crystalline AcLaPmEr at its relaxed geometry.

Cell lengths 8.3852, 8.3852, 8.3852 Å; angles 90.00, 90.00, 90.00 degrees
With the nearest neighbours (Å) after each atom.
Space group F-43m (No. 216)
Symmetry-distinct sites (fractional):
Ac 0.0000 0.0000 0.0000 x4  4 Er 3.63, 4 Pm 3.63
La 0.0000 0.0000 0.5000 x4  4 Er 3.63, 4 Pm 3.63
Pm 0.2500 0.2500 0.2500 x4  4 La 3.63, 4 Ac 3.63
Er 0.2500 0.2500 0.7500 x4  4 Ac 3.63, 4 La 3.63

Summary:
**E above lowest polymorph**: 0.045 eV per atom
**E**: -4.4798 eV/atom
**ΔH_f (0 K)**: 10 kJ/mol of atoms

---

(8)
## Ac2LaPm5Er (GGA-PBE)

Data for crystalline Ac2LaPm5Er at its relaxed geometry.

Cell lengths 5.8633, 20.5535, 10.9979 Å; angles 90.00, 90.00, 90.00 degrees
With the nearest neighbours (Å) after each atom.
Space group Cmc2_1 (No. 36)
Symmetry-distinct sites (fractional):
Ac 0.0000 0.1147 0.0000 x4  9 Pm 3.57-3.97, 1 Er 3.61, 2 La 3.94
Ac 0.0000 0.1163 0.5876 x4  8 Pm 3.41-3.69
La 0.0000 0.4130 0.7339 x4  5 Pm 3.16-3.39
Pm 0.0000 0.0186 0.2923 x4  2 La 3.31, 2 Ac 3.57
Pm 0.0000 0.2821 0.5840 x4  1 La 3.16, 1 Ac 3.41
Pm 0.0000 0.2956 0.9764 x4  4 Pm 3.54-3.90, 1 La 3.60, 3 Er 3.64-3.81, 3 Ac 3.66-3.73
Pm 0.0000 0.3855 0.2890 x4  6 Pm 3.62-4.01, 4 Ac 3.67-3.74, 1 Er 3.69
Pm 0.0000 0.4846 0.0119 x4  2 La 3.22-3.39
Er 0.0000 0.2062 0.2803 x4  2 Ac 3.61-3.85, 8 Pm 3.64-3.86, 2 La 3.86

Summary:
**E**: -4.4668 eV/atom
**ΔH_f (0 K)**: 13 kJ/mol of atoms

---

(9)
## AcLaPm3Er (GGA-PBE)

Data for crystalline AcLaPm3Er at its relaxed geometry.

Cell lengths 7.0307, 5.7655, 10.9396 Å; angles 90.00, 103.83, 90.00 degrees
With the nearest neighbours (Å) after each atom.
Space group P2_1/m (No. 11)
Symmetry-distinct sites (fractional):
Ac 0.1338 0.2500 0.2794 x2  2 La 3.52-3.79, 3 Er 3.61-3.87, 6 Pm 3.72-3.83
La 0.3806 0.7500 0.8138 x2  4 Pm 3.31-3.65, 1 Ac 3.52
Pm 0.1372 0.2500 0.9402 x2  6 Pm 3.54-3.87, 1 Er 3.62, 3 Ac 3.72-3.94, 3 La 3.78-3.79
Pm 0.3686 0.7500 0.4826 x2  3 Pm 3.40-3.69, 4 Er 3.58-3.73, 1 La 3.60, 2 Ac 3.77
Pm 0.3817 0.7500 0.1475 x2  3 La 3.31-3.65, 2 Pm 3.54-3.69, 1 Er 3.66
Er 0.1553 0.2500 0.6124 x2  6 Pm 3.58-3.73, 3 Ac 3.61-3.87, 2 La 3.74

Summary:
**E**: -4.5847 eV/atom
**ΔH_f (0 K)**: 6 kJ/mol of atoms

---

(10)
## AcLaPmEr (GGA-PBE)

Data for crystalline AcLaPmEr at its relaxed geometry.

Cell lengths 3.7566, 3.7566, 12.0212 Å; angles 90.00, 90.00, 120.00 degrees
With the nearest neighbours (Å) after each atom.
Space group P3m1 (No. 156)
Symmetry-distinct sites (fractional):
Ac 0.0000 0.0000 0.0000 x1  3 Er 3.71, 6 Ac 3.76, 3 Pm 3.80
La 0.6667 0.3333 0.5086 x1  3 Er 3.62, 3 Pm 3.70, 6 La 3.76
Pm 0.3333 0.6667 0.2591 x1  3 La 3.70, 6 Pm 3.76, 3 Ac 3.80
Er 0.3333 0.6667 0.7494 x1  3 La 3.62, 3 Ac 3.71, 6 Er 3.76

Summary:
**E above lowest polymorph**: 0.000 eV per atom
**E**: -4.5244 eV/atom
**ΔH_f (0 K)**: 6 kJ/mol of atoms

---

(11)
## AcLa5Pr2Er (GGA-PBE)

Data for crystalline AcLa5Pr2Er at its relaxed geometry.

Cell lengths 9.2456, 9.2456, 15.7147 Å; angles 90.00, 90.00, 90.00 degrees
With the nearest neighbours (Å) after each atom.
Space group I4/mcm (No. 140)
Symmetry-distinct sites (fractional):
Ac 0.0000 0.0000 0.2500 x4  10 La 3.79-3.93
La 0.0000 0.0000 0.0000 x4  4 Pr 3.71, 2 Ac 3.93, 8 La 3.94
La 0.2042 0.2958 0.1347 x16  1 Pr 3.16, 1 Er 3.23
Pr 0.1162 0.3838 0.5000 x8  1 Pr 3.04, 2 La 3.16
Er 0.0000 0.5000 0.2500 x4  4 La 3.23

Summary:
**E**: -4.5217 eV/atom
**ΔH_f (0 K)**: 23 kJ/mol of atoms

---

(12)
## AcLa2Pr6Er (GGA-PBE)

Data for crystalline AcLa2Pr6Er at its relaxed geometry.

Cell lengths 9.4407, 15.7067, 10.0514 Å; angles 90.00, 97.10, 90.00 degrees
With the nearest neighbours (Å) after each atom.
Space group C2/c (No. 15)
Symmetry-distinct sites (fractional):
Ac 0.0000 0.0185 0.2500 x4  4 La 3.55-3.62, 4 Pr 3.78-3.85
La 0.2454 0.4457 0.4559 x8  5 Pr 3.35-3.71, 2 Ac 3.55-3.62, 1 Er 3.70
Pr 0.0651 0.1909 0.9462 x8  6 Pr 3.56-3.81, 1 La 3.71, 1 Ac 3.85, 1 Er 3.95
Pr 0.1021 0.3960 0.1177 x8  3 La 3.35-3.59, 4 Pr 3.41-3.65, 2 Er 3.53-3.71
Pr 0.2091 0.2234 0.3102 x8  5 Pr 3.41-3.81, 2 La 3.54-3.79, 1 Er 3.55, 1 Ac 3.78
Er 0.0000 0.4083 0.7500 x4  6 Pr 3.53-3.71, 2 La 3.70

Summary:
**E**: -4.6108 eV/atom
**ΔH_f (0 K)**: 11 kJ/mol of atoms